Entry 1:
First-principles (PBE) data for a relaxed structure of Y4N3, as listed in Alexandria.

N(E_F) ... 2.73 states/eV per cell
Total moment ... 0.000 μB per atom
E_tot ... -8.646 eV/atom
E_form (uncorrected) ... -1385 meV/atom
Calculated volume ... 119.3 Å³/f.u.
Crystal system ... cubic

POSCAR file:
```
Y4N3
1.0
-3.997 -2.770 0.766
1.974 -1.692 4.180
-2.088 3.701 2.485
Y N
4 3
Direct
0.000 0.500 0.500
0.000 0.000 0.000
0.500 0.500 0.000
0.500 0.000 0.500
0.500 0.000 0.000
0.000 0.000 0.500
0.000 0.500 0.000
```


Entry 2:
First-principles (PBE) data for a relaxed structure of Y2N, as listed in Alexandria.

N(E_F) ... 2.48 states/eV per cell
Total moment ... 0.286 μB per atom
E_tot ... -8.133 eV/atom
E_form (uncorrected) ... -1049 meV/atom
Calculated volume ... 63.9 Å³/f.u.
Crystal system ... trigonal

POSCAR file:
```
Y2N
1.0
3.516 0.000 0.000
-1.758 3.045 0.000
0.000 0.000 5.971
Y N
2 1
Direct
0.667 0.333 0.775
0.333 0.667 0.225
0.000 0.000 0.000
```


Entry 3:
First-principles (PBE) data for a relaxed structure of Y5N4, as listed in Alexandria.

N(E_F) ... 2.77 states/eV per cell
Total moment ... 0.000 μB per atom
E_tot ... -8.477 eV/atom
Energy above the most stable polymorph in this dataset ... 0.000 eV per atom
E_form (uncorrected) ... -1186 meV/atom
Calculated volume ... 161.6 Å³/f.u.
Crystal system ... tetragonal

POSCAR file:
```
Y5N4
1.0
0.755 3.350 -0.796
-3.107 3.748 5.025
6.000 1.300 3.357
Y N
5 4
Direct
0.238 0.171 0.352
0.762 0.829 0.648
0.591 0.648 0.171
0.409 0.352 0.829
0.000 0.000 0.000
0.112 0.100 0.676
0.212 0.676 0.900
0.788 0.324 0.100
0.888 0.900 0.324
```


Entry 4:
First-principles (PBE) data for a relaxed structure of YN4, as listed in Alexandria.

N(E_F) ... 4.33 states/eV per cell
Total moment ... 1.800 μB per atom
E_tot ... -5.397 eV/atom
E_form (uncorrected) ... 2557 meV/atom
Calculated volume ... 109.5 Å³/f.u.
Crystal system ... cubic

POSCAR file:
```
YN4
1.0
4.784 0.000 0.000
0.000 4.784 0.000
0.000 0.000 4.784
N Y
4 1
Direct
0.500 0.000 0.500
0.000 0.500 0.500
0.000 0.000 0.000
0.500 0.500 0.000
0.500 0.500 0.500
```


Entry 5:
First-principles (PBE) data for a relaxed structure of Y3N, as listed in Alexandria.

N(E_F) ... 6.04 states/eV per cell
Total moment ... 0.000 μB per atom
E_tot ... -7.404 eV/atom
Energy above the most stable polymorph in this dataset ... 0.000 eV per atom
E_form (uncorrected) ... -475 meV/atom
Calculated volume ... 97.2 Å³/f.u.
Crystal system ... orthorhombic

POSCAR file:
```
Y3N
1.0
-0.382 3.135 -0.895
-5.908 -0.808 -0.311
2.715 0.143 5.365
Y N
3 1
Direct
0.500 0.345 0.000
0.664 0.043 0.328
0.336 0.714 0.672
0.000 0.064 0.000
```


Entry 6:
First-principles (PBE) data for a relaxed structure of Y3N, as listed in Alexandria.

N(E_F) ... 4.09 states/eV per cell
Total moment ... 0.000 μB per atom
E_tot ... -7.368 eV/atom
Energy above the most stable polymorph in this dataset ... 0.036 eV per atom
E_form (uncorrected) ... -439 meV/atom
Calculated volume ... 96.8 Å³/f.u.
Crystal system ... orthorhombic

POSCAR file:
```
Y3N
1.0
3.205 0.000 0.000
0.000 3.347 0.000
0.000 0.000 9.021
N Y
1 3
Direct
0.000 0.000 0.994
0.500 0.500 0.089
0.500 0.000 0.782
0.000 0.500 0.468
```


Entry 7:
First-principles (PBE) data for a relaxed structure of Y3N2, as listed in Alexandria.

N(E_F) ... 3.83 states/eV per cell
Total moment ... 0.043 μB per atom
E_tot ... -8.530 eV/atom
E_form (uncorrected) ... -1321 meV/atom
Calculated volume ... 93.7 Å³/f.u.
Crystal system ... trigonal

POSCAR file:
```
Y3N2
1.0
3.502 0.000 0.000
1.751 3.033 0.000
1.751 1.011 8.816
N Y
2 3
Direct
0.389 0.389 0.833
0.611 0.611 0.167
0.230 0.230 0.310
0.000 0.000 0.000
0.770 0.770 0.690
```


Entry 8:
First-principles (PBE) data for a relaxed structure of Y5N4, as listed in Alexandria.

N(E_F) ... 3.29 states/eV per cell
Total moment ... 0.000 μB per atom
E_tot ... -7.652 eV/atom
Energy above the most stable polymorph in this dataset ... 0.824 eV per atom
E_form (uncorrected) ... -361 meV/atom
Calculated volume ... 164.2 Å³/f.u.
Crystal system ... tetragonal

POSCAR file:
```
Y5N4
1.0
3.145 0.000 0.000
1.572 7.225 0.000
1.572 0.000 7.225
Y N
5 4
Direct
0.736 0.264 0.264
0.000 0.264 0.736
0.000 0.000 0.000
0.000 0.736 0.264
0.264 0.736 0.736
0.360 0.281 0.000
0.640 0.719 0.000
0.640 0.000 0.719
0.360 0.000 0.281
```